--- i ---
# LaReOs2

A relaxed structure of LaReOs2 (GGA-PBE, Alexandria via LeMat-Bulk).

Cell lengths 3.0109, 3.0109, 7.9467 Å; angles 90.00, 90.00, 90.00 degrees
Last column: nearest neighbours and their distance in Å.
Atoms (fractional coordinates):
La: 0.0000 0.0000 0.0000  4 La 3.01, 8 Os 3.19
Re: 0.0000 0.0000 0.5000  8 Os 2.66
Os: 0.5000 0.5000 0.2994  4 Re 2.66
Os: 0.5000 0.5000 0.7006  4 Re 2.66

Summary:
spin magnetization = 0.00 μB per formula unit
symmetry = No. 123

=====

--- ii ---
# LaReOs2

A relaxed structure of LaReOs2 (GGA-PBE, Alexandria via LeMat-Bulk).

Cell lengths 2.8652, 2.8652, 8.6685 Å; angles 90.00, 90.00, 90.00 degrees
Last column: nearest neighbours and their distance in Å.
Atoms (fractional coordinates):
La: 0.0000 0.0000 0.0000  4 La 2.87
Re: 0.5000 0.5000 0.7043  4 Os 2.73, 4 Re 2.87
Os: 0.0000 0.0000 0.4930  8 Os 2.66-2.87, 4 Re 2.73
Os: 0.5000 0.5000 0.2944  8 Os 2.66-2.87

Summary:
spin magnetization = 0.00 μB per formula unit
symmetry = No. 99

=====

--- iii ---
# LaReOs2

A relaxed structure of LaReOs2 (GGA-PBE, Alexandria via LeMat-Bulk).

Cell lengths 5.7330, 5.7330, 5.7330 Å; angles 150.35, 128.02, 60.99 degrees
Last column: nearest neighbours and their distance in Å.
Atoms (fractional coordinates):
La: 0.0000 0.0000 0.0000  4 Re 2.91, 2 La 2.93, 4 Os 3.13
Re: 0.5000 0.5000 0.0000  4 Os 2.62, 4 La 2.91, 2 Re 2.93
Os: 0.2797 0.7797 0.5000  2 Re 2.62, 2 Os 2.93
Os: 0.7203 0.2203 0.5000  2 Re 2.62, 2 Os 2.93

Summary:
spin magnetization = 0.00 μB per formula unit
symmetry = No. 71

=====

--- iv ---
# LaReOs2

A relaxed structure of LaReOs2 (GGA-PBE, Alexandria via LeMat-Bulk).

Cell lengths 5.0222, 5.0222, 2.9004 Å; angles 90.08, 90.08, 105.63 degrees
Last column: nearest neighbours and their distance in Å.
Atoms (fractional coordinates):
La: 0.0000 0.0000 0.0000  8 Os 2.90, 2 La 2.90, 2 Re 3.04
Re: 0.5000 0.5000 0.0000  8 Os 2.90, 2 Re 2.90, 2 La 3.04
Os: 0.0000 0.5000 0.5000  4 La 2.90, 4 Re 2.90, 4 Os 2.90-3.04
Os: 0.5000 0.0000 0.5000  4 La 2.90, 4 Re 2.90, 4 Os 2.90-3.04

Summary:
spin magnetization = 0.00 μB per formula unit
symmetry = No. 12

=====

Which of them is most stable, and which least? Most stable: i; least stable: iv.

=====

--- i ---
# LaRe3Os

A relaxed structure of LaRe3Os (GGA-PBE, Alexandria via LeMat-Bulk).

Cell lengths 4.6760, 4.6760, 4.6760 Å; angles 90.00, 90.00, 90.00 degrees
Last column: nearest neighbours and their distance in Å.
Atoms (fractional coordinates):
La: 0.0000 0.0000 0.0000  6 Re 2.34
Re: 0.0000 0.0000 0.5000  2 La 2.34
Re: 0.0000 0.5000 0.0000  2 La 2.34
Re: 0.5000 0.0000 0.0000  2 La 2.34
Os: 0.5000 0.5000 0.5000  12 Re 3.31

Summary:
spin magnetization = 0.00 μB per formula unit
symmetry = No. 221

=====

--- ii ---
# LaRe3Os

A relaxed structure of LaRe3Os (GGA-PBE, Alexandria via LeMat-Bulk).

Cell lengths 4.7979, 4.7979, 4.7979 Å; angles 90.00, 90.00, 90.00 degrees
Last column: nearest neighbours and their distance in Å.
Atoms (fractional coordinates):
La: 0.0000 0.0000 0.0000  12 Re 3.39
Re: 0.0000 0.5000 0.5000  2 Os 2.40
Re: 0.5000 0.0000 0.5000  2 Os 2.40
Re: 0.5000 0.5000 0.0000  2 Os 2.40
Os: 0.5000 0.5000 0.5000  6 Re 2.40

Summary:
spin magnetization = 0.00 μB per formula unit
symmetry = No. 221

=====

Which of them is most stable, and which least? Most stable: ii; least stable: i.

=====

--- i ---
# LaReOs

A relaxed structure of LaReOs (GGA-PBE, Alexandria via LeMat-Bulk).

Cell lengths 4.4695, 4.4695, 4.4695 Å; angles 60.00, 60.00, 60.00 degrees
Last column: nearest neighbours and their distance in Å.
Atoms (fractional coordinates):
La: 0.0000 0.0000 0.0000  4 Re 2.74, 4 Os 2.74
Re: 0.2500 0.2500 0.2500  4 La 2.74
Os: 0.7500 0.7500 0.7500  4 La 2.74

Summary:
spin magnetization = 0.00 μB per formula unit
symmetry = No. 216

=====

--- ii ---
# LaReOs

A relaxed structure of LaReOs (GGA-PBE, Alexandria via LeMat-Bulk).

Cell lengths 7.3053, 7.3053, 4.5424 Å; angles 90.00, 90.00, 145.88 degrees
Last column: nearest neighbours and their distance in Å.
Atoms (fractional coordinates):
La: 0.0763 0.9237 0.7500  2 La 3.11, 4 Re 3.22-3.34, 4 Os 3.36
La: 0.9237 0.0763 0.2500  2 La 3.11, 4 Re 3.22-3.34, 4 Os 3.36
Re: 0.2519 0.7481 0.2500  4 Os 2.47-2.56
Re: 0.7481 0.2519 0.7500  4 Os 2.47-2.56
Os: 0.3359 0.6641 0.7500  4 Re 2.47-2.56
Os: 0.6641 0.3359 0.2500  4 Re 2.47-2.56

Summary:
spin magnetization = 0.00 μB per formula unit
symmetry = No. 63

=====

--- iii ---
# LaReOs

A relaxed structure of LaReOs (GGA-PBE, Alexandria via LeMat-Bulk).

Cell lengths 6.7028, 6.7028, 6.7028 Å; angles 153.45, 153.45, 37.90 degrees
Last column: nearest neighbours and their distance in Å.
Atoms (fractional coordinates):
La: 0.0000 0.0000 0.0000  4 La 3.08, 4 Os 3.30, 4 Re 3.32
Re: 0.6980 0.6980 0.0000  4 Os 2.56
Os: 0.3047 0.3047 0.0000  4 Re 2.56

Summary:
spin magnetization = 0.00 μB per formula unit
symmetry = No. 107

=====

--- iv ---
# LaReOs

A relaxed structure of LaReOs (GGA-PBE, Alexandria via LeMat-Bulk).

Cell lengths 2.8883, 2.8883, 7.8043 Å; angles 90.00, 90.00, 120.00 degrees
Last column: nearest neighbours and their distance in Å.
Atoms (fractional coordinates):
La: 0.0000 0.0000 0.0000  6 La 2.89
Re: 0.3333 0.6667 0.6254  3 Os 2.61, 6 Re 2.89
Os: 0.6667 0.3333 0.3683  3 Re 2.61, 6 Os 2.89

Summary:
spin magnetization = 0.00 μB per formula unit
symmetry = No. 156

=====

Which of them is most stable, and which least? Most stable: iii; least stable: i.

=====

--- i ---
# LaReOs

A relaxed structure of LaReOs (GGA-PBE, Alexandria via LeMat-Bulk).

Cell lengths 4.1556, 4.1556, 4.7749 Å; angles 90.00, 90.00, 120.00 degrees
Last column: nearest neighbours and their distance in Å.
Atoms (fractional coordinates):
La: 0.0000 0.0000 0.0000  6 Os 3.26-3.52, 6 Re 3.26-3.52
Re: 0.3333 0.6667 0.4615  3 Os 2.43
Os: 0.6667 0.3333 0.5393  3 Re 2.43

Summary:
spin magnetization = 0.00 μB per formula unit
symmetry = No. 156

=====

--- ii ---
# LaReOs

A relaxed structure of LaReOs (GGA-PBE, Alexandria via LeMat-Bulk).

Cell lengths 7.8074, 7.5764, 2.8761 Å; angles 83.78, 74.73, 21.48 degrees
Last column: nearest neighbours and their distance in Å.
Atoms (fractional coordinates):
La: 0.0000 0.0000 0.0000  6 La 2.88-3.07, 2 Os 3.05, 2 Re 3.12
Re: 0.6827 0.6827 0.3173  2 Os 2.58, 4 Re 2.88
Os: 0.3225 0.3225 0.6775  2 Re 2.58, 4 Os 2.88

Summary:
spin magnetization = 0.00 μB per formula unit
symmetry = No. 42

=====

Which of them is most stable, and which least? Most stable: i; least stable: ii.

=====

--- i ---
# LaRe2Os2

A relaxed structure of LaRe2Os2 (GGA-PBE, Alexandria via LeMat-Bulk).

Cell lengths 6.0132, 6.0132, 6.0132 Å; angles 137.27, 137.27, 62.03 degrees
Last column: nearest neighbours and their distance in Å.
Atoms (fractional coordinates):
La: 0.0000 0.0000 0.0000  8 Os 3.36, 8 Re 3.38
Re: 0.2500 0.7500 0.5000  4 Os 2.53
Re: 0.7500 0.2500 0.5000  4 Os 2.53
Os: 0.3733 0.3733 0.0000  4 Re 2.53, 1 Os 2.61
Os: 0.6268 0.6268 0.0000  4 Re 2.53, 1 Os 2.61

Summary:
spin magnetization = 0.00 μB per formula unit
symmetry = No. 139

=====

--- ii ---
# LaRe2Os2

A relaxed structure of LaRe2Os2 (GGA-PBE, Alexandria via LeMat-Bulk).

Cell lengths 7.9145, 7.9145, 2.7862 Å; angles 90.00, 90.00, 90.00 degrees
Last column: nearest neighbours and their distance in Å.
Atoms (fractional coordinates):
La: 0.0000 0.0000 0.0000  2 La 2.79
La: 0.5000 0.5000 0.0000  2 La 2.79
Re: 0.1693 0.3307 0.5000  6 Os 2.71-2.74, 2 Re 2.79
Re: 0.3307 0.8307 0.5000  6 Os 2.71-2.74, 2 Re 2.79
Re: 0.6693 0.1693 0.5000  6 Os 2.71-2.74, 2 Re 2.79
Re: 0.8307 0.6693 0.5000  6 Os 2.71-2.74, 2 Re 2.79
Os: 0.1203 0.6203 0.0000  3 Os 2.69-2.79, 6 Re 2.71-2.74
Os: 0.3797 0.1203 0.0000  3 Os 2.69-2.79, 6 Re 2.71-2.74
Os: 0.6203 0.8797 0.0000  3 Os 2.69-2.79, 6 Re 2.71-2.74
Os: 0.8797 0.3797 0.0000  3 Os 2.69-2.79, 6 Re 2.71-2.74

Summary:
spin magnetization = 0.00 μB per formula unit
symmetry = No. 127

=====

Which of them is most stable, and which least? Most stable: i; least stable: ii.

=====

--- i ---
# LaOsRh2

A relaxed structure of LaOsRh2 (GGA-PBE, Alexandria via LeMat-Bulk).

Cell lengths 2.8663, 3.9502, 6.4481 Å; angles 90.00, 90.00, 90.00 degrees
Last column: nearest neighbours and their distance in Å.
Atoms (fractional coordinates):
La: 0.0000 0.0000 0.0000  2 La 2.87, 5 Rh 3.03-3.10
Os: 0.5000 0.5000 0.3253  5 Rh 2.56-2.64
Rh: 0.0000 0.0000 0.4813  4 Os 2.64, 6 Rh 2.87-2.89
Rh: 0.5000 0.5000 0.7220  1 Os 2.56

Summary:
spin magnetization = 0.00 μB per formula unit
symmetry = No. 25

=====

--- ii ---
# LaOsRh2

A relaxed structure of LaOsRh2 (GGA-PBE, Alexandria via LeMat-Bulk).

Cell lengths 4.6950, 4.6950, 4.6950 Å; angles 60.00, 60.00, 60.00 degrees
Last column: nearest neighbours and their distance in Å.
Atoms (fractional coordinates):
La: 0.0000 0.0000 0.0000  8 Rh 2.88
Os: 0.5000 0.5000 0.5000  8 Rh 2.88
Rh: 0.2500 0.2500 0.2500  4 La 2.88, 4 Os 2.88
Rh: 0.7500 0.7500 0.7500  4 Os 2.88, 4 La 2.88

Summary:
spin magnetization = 2.67 μB per formula unit
symmetry = No. 225

=====

Which of them is most stable, and which least? Most stable: i; least stable: ii.